Record 1
An optimized crystal structure of LiPmSc2Cd4. Source: Alexandria, functional GGA-PBE.

DFT formation energy (eV/atom): -0.240

Unit cell a=5.008 b=5.008 c=9.019 alpha=73.88 beta=73.88 gamma=60.00
Element x y z (fractional)
Li 0.500 0.500 0.500
Pm 0.000 0.000 0.000
Sc 0.754 0.754 0.738
Sc 0.246 0.246 0.262
Cd 0.388 0.388 0.836
Cd 0.872 0.872 0.385
Cd 0.128 0.128 0.615
Cd 0.612 0.612 0.164


Record 2
An optimized crystal structure of Cs2SmMnS4. Source: Alexandria, functional GGA-PBE.

E_form (uncorrected) (eV per atom): -1.164

Unit cell a=6.486 b=8.182 c=13.198 alpha=84.41 beta=75.78 gamma=66.65
Last column: magnetic moment on the atom in μB.
Element x y z (fractional)
Cs 0.183 0.000 0.635  0.00
Cs 0.817 0.000 0.365  0.00
Cs 0.567 0.500 0.865  0.00
Cs 0.933 0.500 0.135  0.00
Sm 0.750 0.500 0.500  0.10
Sm 0.000 0.000 0.000  0.10
Mn 0.250 0.500 0.500  3.42
Mn 0.500 0.000 0.000  3.42
S 0.345 0.802 0.086  0.00
S 0.233 0.198 0.914  0.00
S 0.853 0.802 0.914  0.00
S 0.569 0.198 0.086  0.00
S 0.405 0.698 0.414  0.00
S 0.517 0.302 0.586  0.00
S 0.897 0.698 0.586  0.00
S 0.181 0.302 0.414  0.00